Record 1
A plane-wave DFT calculation with PBE was carried out for a geometry-optimized ZrCu2Pb2 structure.

Values from the calculation:
- E above lowest polymorph (meV/atom) = 0

abc: 6.859 6.859 6.859
angles: 145.32 145.32 49.85
Sites, in units of the cell vectors:
Cu (0.750, 0.250, 0.500)
Cu (0.250, 0.750, 0.500)
Pb (0.384, 0.384, 0.000)
Pb (0.616, 0.616, 0.000)
Zr (0.000, 0.000, 0.000)


Record 2
A plane-wave DFT calculation with PBE was carried out for a geometry-optimized Li2SnPd structure.

Values from the calculation:
- VASP energy (eV per cell) = -15.3

abc: 4.474 4.474 4.474
angles: 60.00 60.00 60.00
Sites, in units of the cell vectors:
Li (0.000, 0.000, 0.000)
Li (0.750, 0.750, 0.750)
Pd (0.250, 0.250, 0.250)
Sn (0.500, 0.500, 0.500)


Record 3
A plane-wave DFT calculation with PBE was carried out for a geometry-optimized CsKNbSe2S structure.

Values from the calculation:
- VASP energy (eV per cell) = -60.1

abc: 7.329 8.095 8.749
angles: 77.70 69.48 64.32
Sites, in units of the cell vectors:
Cs (0.312, 0.587, 0.314)
Cs (0.688, 0.413, 0.686)
K (0.095, 0.192, 0.139)
K (0.905, 0.808, 0.861)
Nb (0.623, 0.945, 0.333)
Nb (0.377, 0.055, 0.667)
S (0.262, 0.993, 0.470)
S (0.738, 0.007, 0.530)
Se (0.637, 0.167, 0.099)
Se (0.819, 0.628, 0.260)
Se (0.181, 0.372, 0.740)
Se (0.363, 0.833, 0.901)


Record 4
A plane-wave DFT calculation with PBE was carried out for a geometry-optimized NaNbSeS structure.

Values from the calculation:
- E above lowest polymorph (meV/atom) = 1

abc: 3.495 3.495 14.601
angles: 90.00 90.00 120.00
Sites, in units of the cell vectors:
Na (0.000, 0.000, 0.000)
Na (0.000, 0.000, 0.500)
Nb (0.000, 0.000, 0.241)
Nb (0.000, 0.000, 0.759)
S (0.333, 0.667, 0.136)
S (0.667, 0.333, 0.864)
Se (0.333, 0.667, 0.356)
Se (0.667, 0.333, 0.644)


Record 5
A plane-wave DFT calculation with PBE was carried out for a geometry-optimized RbCoH24C14N8 structure.

Values from the calculation:
- VASP energy (eV per cell) = -287.8

abc: 8.632 8.632 8.632
angles: 120.67 88.84 120.67
Sites, in units of the cell vectors:
C (0.751, 0.449, 0.057)
C (0.821, 0.949, 0.128)
C (0.152, 0.000, 0.152)
C (0.128, 0.307, 0.179)
C (0.698, 0.305, 0.249)
C (0.607, 0.551, 0.302)
C (0.943, 0.695, 0.393)
C (0.057, 0.305, 0.607)
C (0.393, 0.449, 0.698)
C (0.302, 0.695, 0.751)
C (0.872, 0.693, 0.821)
C (0.848, 0.000, 0.848)
C (0.179, 0.051, 0.872)
C (0.249, 0.551, 0.943)
Co (0.000, 0.000, 0.000)
H (0.840, 0.389, 0.009)
H (0.395, 0.679, 0.041)
H (0.807, 0.600, 0.066)
H (0.549, 0.169, 0.160)
H (0.793, 0.258, 0.193)
H (0.466, 0.400, 0.207)
H (0.638, 0.679, 0.283)
H (0.041, 0.645, 0.362)
H (0.991, 0.831, 0.380)
H (0.717, 0.355, 0.395)
H (0.620, 0.611, 0.451)
H (0.066, 0.258, 0.466)
H (0.934, 0.742, 0.534)
H (0.380, 0.389, 0.549)
H (0.283, 0.645, 0.605)
H (0.009, 0.169, 0.620)
H (0.959, 0.355, 0.638)
H (0.362, 0.321, 0.717)
H (0.534, 0.600, 0.793)
H (0.207, 0.742, 0.807)
H (0.451, 0.831, 0.840)
H (0.193, 0.400, 0.934)
H (0.605, 0.321, 0.959)
H (0.160, 0.611, 0.991)
N (0.711, 0.921, 0.210)
N (0.248, 0.000, 0.248)
N (0.750, 0.500, 0.250)
N (0.210, 0.499, 0.289)
N (0.790, 0.501, 0.711)
N (0.250, 0.500, 0.750)
N (0.752, 0.000, 0.752)
N (0.289, 0.079, 0.790)
Rb (0.500, 0.000, 0.500)


Record 6
A plane-wave DFT calculation with PBE was carried out for a geometry-optimized TaHgAsO structure.

Values from the calculation:
- E above lowest polymorph (meV/atom) = 0

abc: 3.515 9.545 5.179
angles: 90.00 90.00 90.00
Sites, in units of the cell vectors:
As (0.000, 0.841, 0.423)
As (0.000, 0.159, 0.923)
Hg (0.500, 0.568, 0.482)
Hg (0.500, 0.432, 0.982)
O (0.500, 0.191, 0.424)
O (0.500, 0.809, 0.924)
Ta (0.000, 0.108, 0.425)
Ta (0.000, 0.892, 0.925)


Record 7
A plane-wave DFT calculation with PBE was carried out for a geometry-optimized CuI structure.

Values from the calculation:
- VASP energy (eV per cell) = -43.0

abc: 8.783 8.783 8.882
angles: 118.64 118.64 90.15
Sites, in units of the cell vectors:
Cu (0.727, 0.033, 0.055)
Cu (0.513, 0.244, 0.056)
Cu (0.756, 0.487, 0.444)
Cu (0.967, 0.273, 0.445)
Cu (0.033, 0.727, 0.555)
Cu (0.244, 0.513, 0.556)
Cu (0.487, 0.756, 0.944)
Cu (0.273, 0.967, 0.945)
I (0.212, 0.260, 0.005)
I (0.784, 0.308, 0.047)
I (0.692, 0.216, 0.453)
I (0.740, 0.788, 0.495)
I (0.260, 0.212, 0.505)
I (0.308, 0.784, 0.547)
I (0.216, 0.692, 0.953)
I (0.788, 0.740, 0.995)


Record 8
A plane-wave DFT calculation with PBE was carried out for a geometry-optimized RbCu3OsSe4 structure.

Values from the calculation:
- VASP energy (eV per cell) = -37.5

abc: 6.214 6.214 6.214
angles: 90.00 90.00 90.00
Sites, in units of the cell vectors:
Cu (0.500, 0.500, 0.000)
Cu (0.500, 0.000, 0.500)
Cu (0.000, 0.500, 0.500)
Os (0.500, 0.500, 0.500)
Rb (0.000, 0.000, 0.000)
Se (0.282, 0.282, 0.282)
Se (0.718, 0.718, 0.282)
Se (0.718, 0.282, 0.718)
Se (0.282, 0.718, 0.718)